# 1
Density functional theory data (PBE-GGA) for an optimized crystal structure of PmCuSi2Pt2.

```
data_PmCuSi2Pt2
_space_group_name_H-M_alt 'P -3 m 1'
_space_group_IT_number 164
_space_group_name_Hall '-P 3 2"'
_cell_length_a 4.1992
_cell_length_b 4.1992
_cell_length_c 6.8190
_cell_angle_alpha 90.00
_cell_angle_beta 90.00
_cell_angle_gamma 120.00
loop_
_atom_site_label
_atom_site_type_symbol
_atom_site_fract_x
_atom_site_fract_y
_atom_site_fract_z
Pm1 Pm 0.0000 0.0000 0.0000
Cu1 Cu 0.0000 0.0000 0.5000
Si1 Si 0.3333 0.6667 0.2975
Pt1 Pt 0.3333 0.6667 0.6792
```

Values from the calculation:
ΔE_f (raw)	-0.84	eV per atom

---

# 2
Density functional theory data (PBE-GGA) for an optimized crystal structure of Pm2CuSi4Pt3.

```
data_Pm2CuSi4Pt3
_space_group_name_H-M_alt 'P -4 m 2'
_space_group_IT_number 115
_cell_length_a 4.220
_cell_length_b 4.220
_cell_length_c 9.910
_cell_angle_alpha 90.00
_cell_angle_beta 90.00
_cell_angle_gamma 90.00
loop_
_space_group_symop_operation_xyz
'x,y,z'
'y,-x,-z'
'-x,-y,z'
'-y,x,-z'
'-x,y,z'
'-y,-x,-z'
'x,-y,z'
'y,x,-z'
loop_
_atom_site_label
_atom_site_type_symbol
_atom_site_fract_x
_atom_site_fract_y
_atom_site_fract_z
Pm1 Pm 0.000 0.500 0.249
Cu1 Cu 0.500 0.500 0.000
Si1 Si 0.000 0.000 0.500
Si2 Si 0.000 0.500 0.868
Si3 Si 0.500 0.500 0.500
Pt1 Pt 0.000 0.000 0.000
Pt2 Pt 0.000 0.500 0.622
```

Values from the calculation:
ΔE_f (raw)	-1.00	eV per atom

---

# 3
Density functional theory data (PBE-GGA) for an optimized crystal structure of PmCuSi2Pt5.

```
data_PmCuSi2Pt5
_space_group_name_H-M_alt 'P 4/m m m'
_space_group_IT_number 123
_space_group_name_Hall '-P 4 2'
_cell_length_a 4.090
_cell_length_b 4.090
_cell_length_c 10.222
_cell_angle_alpha 90.00
_cell_angle_beta 90.00
_cell_angle_gamma 90.00
loop_
_atom_site_label
_atom_site_type_symbol
_atom_site_fract_x
_atom_site_fract_y
_atom_site_fract_z
Pm1 Pm 0.000 0.000 0.000
Cu1 Cu 0.000 0.000 0.500
Si1 Si 0.500 0.500 0.230
Pt1 Pt 0.000 0.500 0.345
Pt2 Pt 0.500 0.500 0.000
```

Values from the calculation:
ΔE_f (raw)	-0.62	eV per atom

---

# 4
Density functional theory data (PBE-GGA) for an optimized crystal structure of PmCuSiPt2.

```
data_PmCuSiPt2
_space_group_name_H-M_alt 'I m m 2'
_space_group_IT_number 44
_cell_length_a 3.961
_cell_length_b 4.106
_cell_length_c 11.045
_cell_angle_alpha 90.00
_cell_angle_beta 90.00
_cell_angle_gamma 90.00
loop_
_space_group_symop_operation_xyz
'x,y,z'
'-x,-y,z'
'-x,y,z'
'x,-y,z'
'x+1/2,y+1/2,z+1/2'
'-x+1/2,-y+1/2,z+1/2'
'-x+1/2,y+1/2,z+1/2'
'x+1/2,-y+1/2,z+1/2'
loop_
_atom_site_label
_atom_site_type_symbol
_atom_site_fract_x
_atom_site_fract_y
_atom_site_fract_z
Pm1 Pm 0.000 0.000 0.000
Cu1 Cu 0.000 0.500 0.743
Si1 Si 0.000 0.000 0.622
Pt1 Pt 0.000 0.000 0.409
Pt2 Pt 0.000 0.500 0.240
```

Values from the calculation:
ΔE_f (raw)	-0.84	eV per atom

---

# 5
Density functional theory data (PBE-GGA) for an optimized crystal structure of PmCuSi2Pt.

```
data_PmCuSi2Pt
_space_group_name_H-M_alt 'I -4 m 2'
_space_group_IT_number 119
_space_group_name_Hall 'I -4 -2'
_cell_length_a 4.111
_cell_length_b 4.111
_cell_length_c 10.135
_cell_angle_alpha 90.00
_cell_angle_beta 90.00
_cell_angle_gamma 90.00
loop_
_atom_site_label
_atom_site_type_symbol
_atom_site_fract_x
_atom_site_fract_y
_atom_site_fract_z
Pm1 Pm 0.000 0.000 0.000
Cu1 Cu 0.000 0.500 0.750
Si1 Si 0.000 0.000 0.382
Pt1 Pt 0.000 0.500 0.250
```

Values from the calculation:
ΔE_f (raw)	-0.85	eV per atom

---

# 6
Density functional theory data (PBE-GGA) for an optimized crystal structure of Pm3Cu2SiPt9.

```
data_Pm3Cu2SiPt9
_space_group_name_H-M_alt 'P -3 m 1'
_space_group_IT_number 164
_space_group_name_Hall '-P 3 2"'
_cell_length_a 5.6247
_cell_length_b 5.6247
_cell_length_c 11.3296
_cell_angle_alpha 90.00
_cell_angle_beta 90.00
_cell_angle_gamma 120.00
loop_
_atom_site_label
_atom_site_type_symbol
_atom_site_fract_x
_atom_site_fract_y
_atom_site_fract_z
Pm1 Pm 0.0000 0.0000 0.0000
Pm2 Pm 0.3333 0.6667 0.7531
Cu1 Cu 0.3333 0.6667 0.1733
Si1 Si 0.0000 0.0000 0.5000
Pt1 Pt 0.0000 0.5000 0.0000
Pt2 Pt 0.1715 0.3430 0.3526
```

Values from the calculation:
ΔE_f (raw)	-0.68	eV per atom

---

# 7
Density functional theory data (PBE-GGA) for an optimized crystal structure of PmCu2SiPt.

```
data_PmCu2SiPt
_space_group_name_H-M_alt 'I m m 2'
_space_group_IT_number 44
_cell_length_a 4.008
_cell_length_b 4.139
_cell_length_c 10.382
_cell_angle_alpha 90.00
_cell_angle_beta 90.00
_cell_angle_gamma 90.00
loop_
_space_group_symop_operation_xyz
'x,y,z'
'-x,-y,z'
'-x,y,z'
'x,-y,z'
'x+1/2,y+1/2,z+1/2'
'-x+1/2,-y+1/2,z+1/2'
'-x+1/2,y+1/2,z+1/2'
'x+1/2,-y+1/2,z+1/2'
loop_
_atom_site_label
_atom_site_type_symbol
_atom_site_fract_x
_atom_site_fract_y
_atom_site_fract_z
Pm1 Pm 0.000 0.000 0.000
Cu1 Cu 0.000 0.000 0.602
Cu2 Cu 0.000 0.500 0.255
Si1 Si 0.000 0.000 0.377
Pt1 Pt 0.000 0.500 0.752
```

Values from the calculation:
ΔE_f (raw)	-0.59	eV per atom

---

# 8
Density functional theory data (PBE-GGA) for an optimized crystal structure of PmSmCuPt.

```
data_PmSmCuPt
_space_group_name_H-M_alt 'F -4 3 m'
_space_group_IT_number 216
_space_group_name_Hall 'F -4 2 3'
_cell_length_a 7.138
_cell_length_b 7.138
_cell_length_c 7.138
_cell_angle_alpha 90.00
_cell_angle_beta 90.00
_cell_angle_gamma 90.00
loop_
_atom_site_label
_atom_site_type_symbol
_atom_site_fract_x
_atom_site_fract_y
_atom_site_fract_z
Pm1 Pm 0.000 0.000 0.000
Sm1 Sm 0.000 0.000 0.500
Cu1 Cu 0.250 0.250 0.750
Pt1 Pt 0.250 0.250 0.250
```

Values from the calculation:
energy relative to the lowest polymorph listed for this composition	58	meV/atom